# 1
A plane-wave DFT calculation with PBE was carried out for a geometry-optimized PmB3Ru3 structure.

a b c (Å): 7.240 7.497 7.741
angles (deg): 74.01 70.68 74.45
Space group P1 (No. 1)
Asymmetric unit:
Pm 0.000 0.000 0.000 x1
Pm 0.072 0.626 0.398 x1
Pm 0.447 0.177 0.362 x1
Pm 0.675 0.467 0.920 x1
B 0.077 0.907 0.627 x1
B 0.081 0.298 0.341 x1
B 0.130 0.380 0.736 x1
B 0.260 0.639 0.963 x1
B 0.327 0.078 0.074 x1
B 0.503 0.566 0.286 x1
B 0.639 0.236 0.655 x1
B 0.647 0.685 0.591 x1
B 0.742 0.455 0.563 x1
B 0.743 0.790 0.975 x1
B 0.821 0.022 0.351 x1
B 0.880 0.598 0.111 x1
Ru 0.036 0.653 0.821 x1
Ru 0.104 0.018 0.343 x1
Ru 0.178 0.362 0.058 x1
Ru 0.358 0.147 0.771 x1
Ru 0.360 0.826 0.704 x1
Ru 0.410 0.790 0.066 x1
Ru 0.428 0.500 0.580 x1
Ru 0.624 0.078 0.946 x1
Ru 0.663 0.772 0.297 x1
Ru 0.751 0.914 0.631 x1
Ru 0.788 0.351 0.321 x1
Ru 0.978 0.226 0.627 x1

Computed properties:
As for the formation energy: -0.207 eV per atom. The calculation puts the final energy at -7.72 eV per atom.

# 2
A plane-wave DFT calculation with PBE was carried out for a geometry-optimized PmB3Ru5 structure.

a b c (Å): 3.006 12.521 12.923
angles (deg): 90.00 90.00 90.00
Space group Cmcm (No. 63)
Asymmetric unit:
Pm 0.000 0.155 0.250 x4
B 0.000 0.156 0.750 x4
B 0.000 0.369 0.531 x8
Ru 0.000 0.000 0.000 x4
Ru 0.000 0.207 0.579 x8
Ru 0.000 0.442 0.159 x8

Computed properties:
As for the formation energy: -0.056 eV per atom. The calculation puts the final energy at -7.96 eV per atom.

# 3
A plane-wave DFT calculation with PBE was carried out for a geometry-optimized PmBRu2 structure.

a b c (Å): 2.906 2.906 7.127
angles (deg): 90.00 90.00 90.00
Space group P4/mmm (No. 123)
Asymmetric unit:
Pm 0.000 0.000 0.000 x1
B 0.000 0.000 0.500 x1
Ru 0.500 0.500 0.329 x2

Computed properties:
As for the formation energy: 0.270 eV per atom. The calculation puts the final energy at -7.23 eV per atom. As for the distance to the lowest polymorph of the same formula: 624 meV/atom.

# 4
A plane-wave DFT calculation with PBE was carried out for a geometry-optimized Pm3B4Ru4 structure.

a b c (Å): 3.805 4.172 21.311
angles (deg): 90.00 90.00 90.00
Space group Immm (No. 71)
Asymmetric unit:
Pm 0.000 0.000 0.000 x2
Pm 0.000 0.500 0.358 x4
B 0.000 0.000 0.458 x4
B 0.000 0.500 0.207 x4
Ru 0.000 0.000 0.249 x4
Ru 0.000 0.500 0.099 x4

Computed properties:
As for the formation energy: -0.309 eV per atom. The calculation puts the final energy at -7.41 eV per atom.

# 5
A plane-wave DFT calculation with PBE was carried out for a geometry-optimized PmBRu structure.

a b c (Å): 3.979 3.979 7.141
angles (deg): 90.00 90.00 90.00
Space group P4/nmm (No. 129, origin choice 2)
Asymmetric unit:
Pm 0.250 0.250 0.193 x2
B 0.250 0.250 0.623 x2
Ru 0.250 0.750 0.500 x2

Computed properties:
As for the formation energy: -0.343 eV per atom. The calculation puts the final energy at -7.24 eV per atom. As for the distance to the lowest polymorph of the same formula: 7 meV/atom.

# 6
A plane-wave DFT calculation with PBE was carried out for a geometry-optimized PmBRu structure.

a b c (Å): 3.6718 3.6718 4.4233
angles (deg): 90.00 90.00 120.00
Space group P-6m2 (No. 187)
Asymmetric unit:
Pm 0.0000 0.0000 0.0000 x1
B 0.3333 0.6667 0.5000 x1
Ru 0.6667 0.3333 0.5000 x1

Computed properties:
As for the formation energy: -0.350 eV per atom. The calculation puts the final energy at -7.25 eV per atom. As for the distance to the lowest polymorph of the same formula: 0 meV/atom.

# 7
A plane-wave DFT calculation with PBE was carried out for a geometry-optimized PmBRu2 structure.

a b c (Å): 5.101 7.798 3.270
angles (deg): 90.00 90.00 90.00
Space group Cmmm (No. 65)
Asymmetric unit:
Pm 0.000 0.000 0.000 x2
B 0.000 0.500 0.000 x2
Ru 0.000 0.329 0.500 x4

Computed properties:
As for the formation energy: -0.128 eV per atom. The calculation puts the final energy at -7.62 eV per atom. As for the distance to the lowest polymorph of the same formula: 227 meV/atom.

# 8
A plane-wave DFT calculation with PBE was carried out for a geometry-optimized PmBRu2 structure.

a b c (Å): 6.014 4.280 9.796
angles (deg): 90.00 90.00 90.00
Space group Pnma (No. 62)
Asymmetric unit:
Pm 0.087 0.250 0.116 x4
B 0.123 0.750 0.403 x4
Ru 0.079 0.250 0.420 x4
Ru 0.159 0.250 0.738 x4

Computed properties:
As for the formation energy: -0.355 eV per atom. The calculation puts the final energy at -7.85 eV per atom. As for the distance to the lowest polymorph of the same formula: 0 meV/atom.